(1)
## ZrScFe2Pb (PBE)

Data for crystalline ZrScFe2Pb at its relaxed geometry.

Structure (POSCAR):
```
ZrScFe2Pb
1.0
-3.370 1.505 2.826
-3.075 -4.093 -1.487
1.750 -2.570 3.456
Fe Zr Sc Pb
2 1 1 1
Direct
0.500 0.000 0.000
0.000 0.000 0.500
0.000 0.000 0.000
0.000 0.500 0.000
0.500 0.500 0.500
```

=====

(2)
## La2CeGe3Pt4 (PBE)

Data for crystalline La2CeGe3Pt4 at its relaxed geometry.

Structure (POSCAR):
```
La2CeGe3Pt4
1.0
4.404 0.000 0.000
0.000 4.404 0.000
0.000 0.000 11.100
Ge Ce La Pt
3 1 2 4
Direct
0.000 0.000 0.500
0.000 0.500 0.118
0.500 0.000 0.882
0.500 0.500 0.500
0.000 0.500 0.776
0.500 0.000 0.224
0.000 0.500 0.342
0.500 0.500 0.000
0.000 0.000 0.000
0.500 0.000 0.658
```

=====

(3)
## CoTc2Rh (PBE)

Data for crystalline CoTc2Rh at its relaxed geometry.

Values from the calculation:
As for the energy above the most stable polymorph in this dataset: 0.329 eV/atom.

Structure (POSCAR):
```
CoTc2Rh
1.0
4.275 0.000 0.000
2.137 3.702 0.000
2.137 1.234 3.490
Rh Tc Co
1 2 1
Direct
0.750 0.750 0.750
0.000 0.000 0.000
0.250 0.250 0.250
0.500 0.500 0.500
```

=====

Energy of formation for the records above, in order: 24.3; -22.2; 5.7 kcal/mol of atoms
N(E_F) for the records above, in order: 1.033; 1.025; 1.533 states/eV per atom